Record 1
Zr3HgBi | PBE | optimized geometry

Calculated values
Its relative energy among the computed polymorphs is 0.870 eV per atom. The calculation puts the formation energy at 0.7061 eV per atom. The space group is No. 221.

Cell: 5.290 5.290 5.290 Å, 90.00 90.00 90.00°
Fractional positions:
Zr1 0.000 0.000 0.500
Zr2 0.000 0.500 0.000
Zr3 0.500 0.000 0.000
Hg1 0.000 0.000 0.000
Bi1 0.500 0.500 0.500

---

Record 2
CsScO3 | PBE | optimized geometry

Calculated values
The space group is No. 221. Its formation energy without anion corrections is -1.802 eV/atom.

Cell: 4.259 4.259 4.259 Å, 90.00 90.00 90.00°
Fractional positions:
Cs1 0.000 0.000 0.000
Sc1 0.500 0.500 0.500
O1 0.000 0.500 0.500
O2 0.500 0.000 0.500
O3 0.500 0.500 0.000

---

Record 3
KTa2Re | PBE | optimized geometry

Calculated values
Its relative energy among the computed polymorphs is 0.031 eV per atom. The calculation puts the formation energy at 0.6135 eV per atom. The space group is No. 35.

Cell: 3.196 4.763 10.751 Å, 90.00 90.00 90.00°
Fractional positions:
K1 0.000 0.000 0.000
K2 0.500 0.500 0.000
Ta1 0.000 0.000 0.468
Ta2 0.000 0.500 0.688
Ta3 0.500 0.000 0.688
Ta4 0.500 0.500 0.468
Re1 0.000 0.500 0.274
Re2 0.500 0.000 0.274

---

| no. | magnetization (μB/cell) | raw total energy (eV/atom) |
| --- | --- | --- |
| 1 | 1.43 | -5.2593 |
| 2 | 2.00 | -6.2140 |
| 3 | 0.00 | -8.6992 |